[1]
K2TaTl PBE optimized geometry; distance to the lowest polymorph of the same formula = 235.6 meV/atom; formation energy from the elements = 0.9968 eV/atom; crystal system = orthorhombic
1.0
3.1197 -6.1411 0.0000
3.1197 6.1411 0.0000
0.0000 0.0000 3.1131
K Ta Tl
2 1 1
Cartesian
1.5598 3.0706 0.0000
1.5598 -3.0706 0.0000
0.0000 0.0000 1.5566
3.1197 0.0000 1.5566

[2]
LiPaCuSe4 PBE optimized geometry; E_form (uncorrected) = -0.9177 eV/atom; crystal system = orthorhombic
1.0
-3.7322 4.2428 5.2907
3.7322 -4.2428 5.2907
3.7322 4.2428 -5.2907
Li Pa Cu Se
2 2 2 8
Cartesian
0.0000 2.1214 2.3986
3.7322 2.1214 2.8921
3.7322 0.0000 0.0000
0.0000 0.0000 5.2907
1.8661 2.1214 -2.6453
1.8661 -2.1214 2.6453
3.7322 3.7324 -2.7563
3.7322 -0.5104 2.7563
1.9638 2.1214 0.5114
5.5005 2.1214 0.5114
-1.7684 2.1214 4.7793
1.7684 2.1214 4.7793
0.0000 4.7532 2.5344
0.0000 0.5104 8.0470

[3]
HfBRu2 PBE optimized geometry; formation energy from the elements = -0.1552 eV/atom; crystal system = tetragonal
1.0
3.0293 0.0000 0.0000
0.0000 3.0293 0.0000
0.0000 0.0000 5.9319
Hf B Ru
1 1 2
Cartesian
0.0000 0.0000 0.0000
0.0000 0.0000 2.9659
1.5147 1.5147 1.7003
1.5147 1.5147 4.2316

[4]
Re2PdN PBE optimized geometry; E_form (uncorrected) = 0.8167 eV/atom; crystal system = tetragonal
1.0
-2.3564 2.3564 5.8394
2.3564 -2.3564 5.8394
2.3564 2.3564 -5.8394
Re Pd N
4 2 2
Cartesian
3.5346 0.6133 -1.4598
0.6133 1.1782 1.4598
-1.1782 1.7432 4.3795
1.7432 1.1782 7.2992
2.3564 0.0000 2.9197
0.0000 0.0000 5.8394
0.0000 0.0000 0.0000
0.0000 2.3564 2.9197